Entry 1:
The following is a GGA-PBE calculation of a relaxed Eu3Sc crystal, from Alexandria.

Output
For the energy above the lowest structure with this stoichiometry, the calculation gives 6 meV/atom. The volume is 144 Å³ per cell.

```
Eu3Sc
1.0
-1.991 2.988 6.034
1.991 -2.988 6.034
1.991 2.988 -6.034
Eu Sc
3 1
Cartesian
0.000 0.000 0.000
1.991 0.000 3.220
0.000 2.988 2.814
0.000 0.000 6.034
```

Entry 2:
The following is a GGA-PBE calculation of a relaxed CaMgSn2Se4 crystal, from Alexandria.

Output
The volume is 209 Å³ per cell. The value obtained for the formation energy without anion corrections is -7.80 eV/f.u.

```
CaMgSn2Se4
1.0
7.259 0.000 0.000
0.000 4.183 0.000
-2.419 0.000 6.897
Ca Mg Sn Se
1 1 2 4
Cartesian
0.000 0.000 0.000
3.629 2.091 0.000
-1.209 2.091 3.449
2.420 0.000 3.449
1.278 2.091 1.623
0.073 0.000 5.319
4.767 0.000 1.578
3.562 2.091 5.274
```

Entry 3:
The following is a GGA-PBE calculation of a relaxed Ba2ZnBiO crystal, from Alexandria.

Output
For the energy above the lowest structure with this stoichiometry, the calculation gives 0 meV/atom. The volume is 309 Å³ per cell. The value obtained for the formation energy without anion corrections is -6.20 eV/f.u.

```
Ba2ZnBiO
1.0
7.214 0.000 0.000
0.000 4.583 0.000
-3.400 0.000 9.351
Ba Zn Bi O
4 2 2 2
Cartesian
-0.117 1.146 4.441
-1.483 1.146 8.490
5.297 3.437 0.861
3.931 3.437 4.910
0.596 3.437 7.091
3.218 1.146 2.260
1.588 3.437 1.930
2.226 1.146 7.421
-0.851 3.437 5.749
4.666 1.146 3.602
```

Entry 4:
The following is a GGA-PBE calculation of a relaxed La2TaNi crystal, from Alexandria.

Output
For the energy above the lowest structure with this stoichiometry, the calculation gives 0 meV/atom. The volume is 98 Å³ per cell.

```
La2TaNi
1.0
3.295 0.000 0.000
0.000 3.295 0.000
0.000 0.000 9.042
La Ta Ni
2 1 1
Cartesian
0.000 0.000 0.000
1.647 1.647 3.424
1.647 1.647 6.701
0.000 0.000 5.571
```

Entry 5:
The following is a GGA-PBE calculation of a relaxed Er2MgSi2Ru5 crystal, from Alexandria.

Output
The volume is 326 Å³ per cell. The value obtained for the formation energy without anion corrections is -5.43 eV/f.u.

```
Er2MgSi2Ru5
1.0
9.941 0.000 0.000
0.000 9.941 0.000
0.000 0.000 3.298
Er Mg Si Ru
4 2 4 10
Cartesian
1.712 3.259 0.000
3.259 8.230 0.000
6.682 1.712 0.000
8.230 6.682 0.000
0.000 0.000 0.000
4.971 4.971 0.000
1.274 6.245 0.000
3.697 1.274 0.000
6.245 8.667 0.000
8.667 3.697 0.000
0.000 4.971 1.649
0.696 7.847 1.649
2.094 0.696 1.649
2.877 5.667 1.649
4.275 2.877 1.649
4.971 0.000 1.649
5.667 7.065 1.649
7.065 4.275 1.649
7.847 9.245 1.649
9.245 2.094 1.649
```

Entry 6:
The following is a GGA-PBE calculation of a relaxed TmMn2Si2 crystal, from Alexandria.

Output
The volume is 77 Å³ per cell. The value obtained for the formation energy without anion corrections is -3.13 eV/f.u.

```
TmMn2Si2
1.0
-1.931 1.931 5.142
1.931 -1.931 5.142
1.931 1.931 -5.142
Tm Mn Si
1 2 2
Cartesian
0.000 0.000 0.000
1.931 0.000 2.571
0.000 1.931 2.571
0.000 0.000 3.923
0.000 0.000 6.362
```

Number 1: magnetization 7.353 μB per cell, energy -9.128 eV/atom. Number 2: magnetization 0.000 μB per cell, energy -4.167 eV/atom. Number 3: magnetization 0.000 μB per cell, energy -4.031 eV/atom. Number 4: magnetization 0.000 μB per cell, energy -6.803 eV/atom. Number 5: magnetization 0.000 μB per cell, energy -7.337 eV/atom. Number 6: magnetization 3.481 μB per cell, energy -7.357 eV/atom.